(1)
Ta3H4: optimized geometry, PBE.

Cell and atoms, written as POSCAR:
```
Ta3H4
1.0
-1.4646 1.4646 7.4154
1.4646 -1.4646 7.4154
1.4646 1.4646 -7.4154
Ta H
3 4
Direct
0.0000 0.0000 0.0000 Ta
0.3288 0.3288 0.0000 Ta
0.6712 0.6712 0.0000 Ta
0.1457 0.1457 0.0000 H
0.4513 0.4513 0.0000 H
0.5487 0.5487 0.0000 H
0.8543 0.8543 0.0000 H
```

Properties
excess energy over the best structure of this formula in the dataset = 120.6 meV/atom
Fermi-level density of states = 3.01 states/eV/f.u.


(2)
K3CdSn: optimized geometry, PBE.

Cell and atoms, written as POSCAR:
```
K3CdSn
1.0
6.8241 0.0000 0.0000
0.0000 6.8241 0.0000
0.0000 0.0000 6.8241
K Cd Sn
3 1 1
Direct
0.0000 0.0000 0.5000 K
0.0000 0.5000 0.0000 K
0.5000 0.0000 0.0000 K
0.5000 0.5000 0.5000 Cd
0.0000 0.0000 0.0000 Sn
```

Properties
energy relative to the elements = 128 meV/atom
excess energy over the best structure of this formula in the dataset = 177.7 meV/atom
Fermi-level density of states = 2.03 states/eV/f.u.


(3)
PrTl2P2Pd7: optimized geometry, PBE.

Cell and atoms, written as POSCAR:
```
PrTl2P2Pd7
1.0
3.0038 -3.4644 0.0000
3.0038 3.4644 0.0000
-1.0974 0.0000 11.2904
Pr Tl P Pd
1 2 2 7
Direct
0.0000 0.0000 0.0000 Pr
0.1347 0.1347 0.3807 Tl
0.8653 0.8653 0.6193 Tl
0.3170 0.3170 0.8062 P
0.6830 0.6830 0.1938 P
0.1611 0.5756 0.2079 Pd
0.3565 0.3565 0.6032 Pd
0.4244 0.8389 0.7921 Pd
0.5000 0.5000 0.0000 Pd
0.5756 0.1611 0.2079 Pd
0.6435 0.6435 0.3968 Pd
0.8389 0.4244 0.7921 Pd
```

Properties
energy relative to the elements = -463 meV/atom
Fermi-level density of states = 5.87 states/eV/f.u.


(4)
LaTaSb2: optimized geometry, PBE.

Cell and atoms, written as POSCAR:
```
LaTaSb2
1.0
5.4583 -1.9085 0.0000
5.4583 1.9085 0.0000
-0.1229 0.0000 5.0325
La Ta Sb
1 1 2
Direct
0.0000 0.0000 0.0000 La
0.7542 0.7542 0.4899 Ta
0.2727 0.2727 0.9848 Sb
0.4692 0.4692 0.4975 Sb
```

Properties
uncorrected formation energy = -0.118 eV per atom
excess energy over the best structure of this formula in the dataset = 285.2 meV/atom
Fermi-level density of states = 3.53 states/eV/f.u.


(5)
Tl4CoIr: optimized geometry, PBE.

Cell and atoms, written as POSCAR:
```
Tl4CoIr
1.0
0.0000 4.2509 4.2509
4.2509 0.0000 4.2509
4.2509 4.2509 0.0000
Tl Co Ir
4 1 1
Direct
0.1253 0.1253 0.1253 Tl
0.1253 0.1253 0.6240 Tl
0.1253 0.6240 0.1253 Tl
0.6240 0.1253 0.1253 Tl
0.7500 0.7500 0.7500 Co
0.5000 0.5000 0.5000 Ir
```

Properties
energy relative to the elements = 1260 meV/atom
Fermi-level density of states = 7.19 states/eV/f.u.


(6)
Ce3DyTe4: optimized geometry, PBE.

Cell and atoms, written as POSCAR:
```
Ce3DyTe4
1.0
4.4974 -6.2999 0.0000
4.4974 6.2999 0.0000
0.0000 0.0000 4.4127
Ce Dy Te
3 1 4
Direct
0.0000 0.0000 0.0000 Ce
0.0000 0.5000 0.5000 Ce
0.5000 0.0000 0.5000 Ce
0.5000 0.5000 0.0000 Dy
0.2541 0.7459 0.0000 Te
0.2578 0.2578 0.5000 Te
0.7422 0.7422 0.5000 Te
0.7459 0.2541 0.0000 Te
```

Properties
uncorrected formation energy = -1.349 eV per atom
Fermi-level density of states = 21.32 states/eV/f.u.


(7)
TlAg2W: optimized geometry, PBE.

Cell and atoms, written as POSCAR:
```
TlAg2W
1.0
0.0000 3.3673 3.3673
3.3673 0.0000 3.3673
3.3673 3.3673 0.0000
Tl Ag W
1 2 1
Direct
0.0000 0.0000 0.0000 Tl
0.2500 0.2500 0.2500 Ag
0.7500 0.7500 0.7500 Ag
0.5000 0.5000 0.5000 W
```

Properties
energy relative to the elements = 1035 meV/atom
excess energy over the best structure of this formula in the dataset = 451.7 meV/atom
Fermi-level density of states = 1.76 states/eV/f.u.


(8)
Dy3Er2Th3: optimized geometry, PBE.

Cell and atoms, written as POSCAR:
```
Dy3Er2Th3
1.0
-2.5002 2.5163 10.0583
2.5002 -2.5163 10.0583
2.5002 2.5163 -10.0583
Dy Er Th
3 2 3
Direct
0.0000 0.0000 0.0000 Dy
0.1252 0.6252 0.5000 Dy
0.8748 0.3748 0.5000 Dy
0.2500 0.2500 0.0000 Er
0.7500 0.7500 0.0000 Er
0.3754 0.8754 0.5000 Th
0.5000 0.5000 0.0000 Th
0.6246 0.1246 0.5000 Th
```

Properties
energy relative to the elements = 42 meV/atom
excess energy over the best structure of this formula in the dataset = 4.0 meV/atom
Fermi-level density of states = 10.68 states/eV/f.u.